Entry 1:
A plane-wave DFT calculation with GGA-PBEsol was carried out for a geometry-optimized VTe4O12 structure.

abc: 5.071 5.791 8.228
angles: 100.97 90.08 90.49
Fractional coordinates of all 17 atoms:
V 0.000 0.000 0.000
Te 0.494 0.861 0.781
Te 0.498 0.798 0.339
Te 0.933 0.407 0.781
Te 0.974 0.331 0.336
O 0.100 0.343 0.573
O 0.126 0.959 0.180
O 0.177 0.713 0.852
O 0.289 0.129 0.890
O 0.300 0.489 0.285
O 0.356 0.870 0.564
O 0.634 0.550 0.685
O 0.674 0.113 0.363
O 0.692 0.820 0.983
O 0.800 0.046 0.754
O 0.820 0.646 0.384
O 0.881 0.280 0.081

Values from the calculation:
Calculated total energy   -0.4593 Ry per atom
Total magnetization   0.00 μB per formula unit
Calculated volume   13.95 Å³/atom


Entry 2:
A plane-wave DFT calculation with GGA-PBEsol was carried out for a geometry-optimized AlSiGe2 structure.

abc: 4.565 4.565 4.565
angles: 60.00 60.00 60.00
Fractional coordinates of all 4 atoms:
Al 0.000 0.000 0.000
Si 0.500 0.500 0.500
Ge 0.250 0.250 0.250
Ge 0.750 0.750 0.750

Values from the calculation:
Calculated total energy   -0.3407 Ry per atom
Total magnetization   0.00 μB per formula unit
Calculated volume   16.82 Å³/atom


Entry 3:
A plane-wave DFT calculation with GGA-PBEsol was carried out for a geometry-optimized LiHgP3 structure.

abc: 4.403 4.403 4.403
angles: 90.00 90.00 90.00
Fractional coordinates of all 5 atoms:
Li 0.000 0.000 0.000
Hg 0.500 0.500 0.500
P 0.000 0.000 0.500
P 0.000 0.500 0.000
P 0.500 0.000 0.000

Values from the calculation:
Total magnetization   0.00 μB per formula unit
Formation energy from the elements   772 meV/atom
Calculated volume   17.07 Å³/atom


Entry 4:
A plane-wave DFT calculation with GGA-PBEsol was carried out for a geometry-optimized ScCuS2 structure.

abc: 7.285 7.285 7.285
angles: 29.75 29.75 29.75
Fractional coordinates of all 4 atoms:
Sc 0.000 0.000 0.000
Cu 0.500 0.500 0.500
S 0.399 0.399 0.399
S 0.601 0.601 0.601

Values from the calculation:
Calculated total energy   -0.4498 Ry per atom
Total magnetization   0.00 μB per formula unit
Calculated volume   21.07 Å³/atom


Entry 5:
A plane-wave DFT calculation with GGA-PBEsol was carried out for a geometry-optimized Li9Ge4 structure.

abc: 4.410 4.410 23.429
angles: 90.00 90.00 120.03
Fractional coordinates of all 26 atoms:
Li 0.001 0.999 0.676
Li 0.001 0.999 0.824
Li 0.333 0.667 0.093
Li 0.333 0.667 0.407
Li 0.334 0.666 0.517
Li 0.334 0.666 0.631
Li 0.334 0.666 0.750
Li 0.334 0.666 0.869
Li 0.334 0.666 0.983
Li 0.666 0.334 0.017
Li 0.666 0.334 0.131
Li 0.666 0.334 0.250
Li 0.666 0.334 0.369
Li 0.666 0.334 0.483
Li 0.667 0.333 0.593
Li 0.667 0.333 0.907
Li 0.999 0.001 0.176
Li 0.999 0.001 0.324
Ge 0.000 0.000 0.055
Ge 0.000 0.000 0.445
Ge 0.000 0.000 0.555
Ge 0.000 0.000 0.945
Ge 0.332 0.668 0.199
Ge 0.332 0.668 0.301
Ge 0.668 0.332 0.699
Ge 0.668 0.332 0.801

Values from the calculation:
Total magnetization   0.00 μB per formula unit
Formation energy from the elements   -363 meV/atom
Calculated volume   15.18 Å³/atom


Entry 6:
A plane-wave DFT calculation with GGA-PBEsol was carried out for a geometry-optimized TmLuPb2 structure.

abc: 5.182 5.182 5.182
angles: 115.14 115.14 98.65
Fractional coordinates of all 4 atoms:
Tm 0.000 0.000 0.000
Lu 0.500 0.500 0.000
Pb 0.250 0.750 0.500
Pb 0.750 0.250 0.500

Values from the calculation:
Total magnetization   0.00 μB per formula unit
Formation energy from the elements   -369 meV/atom
Calculated volume   26.09 Å³/atom